--- one ---
The following is a PBE-GGA calculation of an optimized crystal structure of Sm3Dy7Er2, from the Alexandria database.

## Properties
magnetization: 0.0 Bohr magnetons per cell
space group: P2/m (10)

a = 3.5545 Å, b = 5.8116 Å, c = 18.7148 Å
α = 93.11°, β = 90.00°, γ = 90.00°
Last column: nearest neighbours and their distance in Å.
Positions (direct):
1 Sm 0.0000 0.7797 0.6334  2 Sm 3.55, 8 Dy 3.65-3.96, 4 Er 3.66-3.68
2 Sm 0.5000 0.5000 0.0000  8 Dy 3.36-3.41, 2 Sm 3.55
3 Sm 0.0000 0.2203 0.3666  2 Sm 3.55, 8 Dy 3.65-3.96, 4 Er 3.66-3.68
4 Dy 0.0000 0.6884 0.1440  2 Er 3.31, 7 Dy 3.33-3.55, 2 Sm 3.36
5 Dy 0.0000 0.0000 0.0000  4 Dy 3.33-3.55, 4 Sm 3.41
6 Dy 0.5000 0.2572 0.5370  1 Er 3.17, 2 Dy 3.21-3.22
7 Dy 0.0000 0.3116 0.8560  2 Er 3.31, 7 Dy 3.33-3.55, 2 Sm 3.36
8 Dy 0.5000 0.1906 0.1774  6 Dy 3.45-3.55, 2 Er 3.62-3.63
9 Dy 0.5000 0.7428 0.4630  1 Er 3.17, 2 Dy 3.21-3.22
10 Dy 0.5000 0.8094 0.8226  6 Dy 3.45-3.55, 2 Er 3.62-3.63
11 Er 0.5000 0.2907 0.7066  3 Dy 3.17-3.31
12 Er 0.5000 0.7093 0.2934  3 Dy 3.17-3.31


--- two ---
The following is a PBE-GGA calculation of an optimized crystal structure of Sm3Dy7Er2, from the Alexandria database.

## Properties
magnetization: 0.0 Bohr magnetons per cell
space group: R-3m (166)

a = 6.4864 Å, b = 6.4864 Å, c = 11.8344 Å
α = 74.09°, β = 74.09°, γ = 60.00°
Last column: nearest neighbours and their distance in Å.
Positions (direct):
1 Dy 0.0824 0.5847 0.7482  5 Dy 3.23-3.36, 2 Er 3.39-3.40
2 Dy 0.9176 0.4153 0.2518  5 Dy 3.23-3.36, 2 Er 3.39-3.40
3 Dy 0.4153 0.4153 0.2518  5 Dy 3.23-3.36, 2 Er 3.39-3.40
4 Dy 0.5847 0.5847 0.7482  5 Dy 3.23-3.36, 2 Er 3.39-3.40
5 Dy 0.5000 0.5000 0.5000  6 Dy 3.36
6 Dy 0.4153 0.9176 0.2518  5 Dy 3.23-3.36, 2 Er 3.39-3.40
7 Dy 0.5847 0.0824 0.7482  5 Dy 3.23-3.36, 2 Er 3.39-3.40
8 Sm 0.0000 0.0000 0.0000  6 Er 3.74
9 Sm 0.1548 0.1548 0.5356  12 Dy 3.69-4.03, 3 Sm 3.83
10 Sm 0.8452 0.8452 0.4644  12 Dy 3.69-4.03, 3 Sm 3.83
11 Er 0.3333 0.3333 0.0000  6 Dy 3.39-3.40, 3 Sm 3.74, 3 Er 3.74
12 Er 0.6667 0.6667 0.0000  6 Dy 3.39-3.40, 3 Sm 3.74, 3 Er 3.74


Which one sits at the top of the stability order? one does.


--- one ---
The following is a PBE-GGA calculation of an optimized crystal structure of SmDy2Er, from the Alexandria database.

## Properties
magnetization: 0.0 Bohr magnetons per cell
space group: R3m (160)

a = 3.5763 Å, b = 3.5763 Å, c = 11.6755 Å
α = 81.19°, β = 81.19°, γ = 60.00°
Last column: nearest neighbours and their distance in Å.
Positions (direct):
1 Er 0.6665 0.6665 0.0005  6 Dy 3.50-3.51, 6 Er 3.58
2 Dy 0.0821 0.0821 0.7538  3 Er 3.51, 6 Dy 3.58, 3 Sm 3.58
3 Dy 0.2511 0.2511 0.2468  3 Er 3.50, 3 Sm 3.56, 6 Dy 3.58
4 Sm 0.5004 0.5004 0.4989  6 Dy 3.56-3.58, 6 Sm 3.58


--- two ---
The following is a PBE-GGA calculation of an optimized crystal structure of SmDy2Er, from the Alexandria database.

## Properties
magnetization: 0.0 Bohr magnetons per cell
space group: P4/mmm (123)

a = 3.5513 Å, b = 3.5513 Å, c = 10.0619 Å
α = 90.00°, β = 90.00°, γ = 90.00°
Last column: nearest neighbours and their distance in Å.
Positions (direct):
1 Sm 0.5000 0.5000 0.5000  4 Sm 3.55, 8 Dy 3.58
2 Dy 0.0000 0.0000 0.7539  4 Er 3.53, 4 Dy 3.55, 4 Sm 3.58
3 Dy 0.0000 0.0000 0.2461  4 Er 3.53, 4 Dy 3.55, 4 Sm 3.58
4 Er 0.5000 0.5000 0.0000  8 Dy 3.53, 4 Er 3.55


--- three ---
The following is a PBE-GGA calculation of an optimized crystal structure of SmDy2Er, from the Alexandria database.

## Properties
magnetization: 0.0 Bohr magnetons per cell
space group: Fm-3m (225)

a = 5.6680 Å, b = 5.6680 Å, c = 5.6680 Å
α = 60.00°, β = 60.00°, γ = 60.00°
Last column: nearest neighbours and their distance in Å.
Positions (direct):
1 Dy 0.2500 0.2500 0.2500  4 Er 3.47, 4 Sm 3.47
2 Dy 0.7500 0.7500 0.7500  4 Sm 3.47, 4 Er 3.47
3 Er 0.0000 0.0000 0.0000  8 Dy 3.47
4 Sm 0.5000 0.5000 0.5000  8 Dy 3.47


--- four ---
The following is a PBE-GGA calculation of an optimized crystal structure of SmDy2Er, from the Alexandria database.

## Properties
magnetization: 0.0 Bohr magnetons per cell
space group: Pna2_1 (33)

a = 7.2589 Å, b = 11.5786 Å, c = 6.0489 Å
α = 90.00°, β = 90.00°, γ = 90.00°
Last column: nearest neighbours and their distance in Å.
Positions (direct):
1 Dy 0.5682 0.6184 0.3334  3 Er 3.40-3.63, 4 Sm 3.48-3.54, 4 Dy 3.49-3.54
2 Dy 0.0682 0.3816 0.6666  3 Er 3.40-3.63, 4 Sm 3.48-3.54, 4 Dy 3.49-3.54
3 Dy 0.8182 0.8754 0.3349  4 Dy 3.49-3.54, 4 Er 3.49-3.54, 3 Sm 3.51-3.63
4 Dy 0.5682 0.1184 0.1666  3 Er 3.40-3.63, 4 Sm 3.48-3.54, 4 Dy 3.49-3.54
5 Dy 0.8182 0.3754 0.1651  4 Dy 3.49-3.54, 4 Er 3.49-3.54, 3 Sm 3.51-3.63
6 Dy 0.0682 0.8816 0.8334  3 Er 3.40-3.63, 4 Sm 3.48-3.54, 4 Dy 3.49-3.54
7 Dy 0.3182 0.6246 0.8349  4 Dy 3.49-3.54, 4 Er 3.49-3.54, 3 Sm 3.51-3.63
8 Dy 0.3182 0.1246 0.6651  4 Dy 3.49-3.54, 4 Er 3.49-3.54, 3 Sm 3.51-3.63
9 Er 0.5683 0.8820 0.8330  7 Dy 3.40-3.63, 4 Sm 3.48-3.54
10 Er 0.0683 0.1180 0.1670  7 Dy 3.40-3.63, 4 Sm 3.48-3.54
11 Er 0.0683 0.6180 0.3330  7 Dy 3.40-3.63, 4 Sm 3.48-3.54
12 Er 0.5683 0.3820 0.6670  7 Dy 3.40-3.63, 4 Sm 3.48-3.54
13 Sm 0.3184 0.8745 0.3358  7 Dy 3.48-3.63, 4 Er 3.48-3.54
14 Sm 0.8184 0.1255 0.6642  7 Dy 3.48-3.63, 4 Er 3.48-3.54
15 Sm 0.8184 0.6255 0.8358  7 Dy 3.48-3.63, 4 Er 3.48-3.54
16 Sm 0.3184 0.3745 0.1642  7 Dy 3.48-3.63, 4 Er 3.48-3.54


Which one sits at the top of the stability order? one does.


--- one ---
The following is a PBE-GGA calculation of an optimized crystal structure of SmDy2Er, from the Alexandria database.

## Properties
magnetization: 0.0 Bohr magnetons per cell
space group: Imm2 (44)

a = 3.6310 Å, b = 6.7247 Å, c = 6.7247 Å
α = 55.47°, β = 74.34°, γ = 74.34°
Last column: nearest neighbours and their distance in Å.
Positions (direct):
1 Er 0.7500 0.6655 0.8345  6 Dy 3.51-3.53, 4 Sm 3.60-3.63, 2 Er 3.63
2 Dy 0.4989 0.5848 0.4184  3 Er 3.51-3.53, 3 Sm 3.51-3.54, 6 Dy 3.62-3.63
3 Dy 0.0011 0.0816 0.9152  3 Er 3.51-3.53, 3 Sm 3.51-3.54, 6 Dy 3.62-3.63
4 Sm 0.2500 0.1681 0.3319  6 Dy 3.51-3.54, 4 Er 3.60-3.63, 2 Sm 3.63


--- two ---
The following is a PBE-GGA calculation of an optimized crystal structure of SmDy2Er, from the Alexandria database.

## Properties
magnetization: 0.0 Bohr magnetons per cell
space group: R-3m (166)

a = 3.5542 Å, b = 3.5542 Å, c = 11.7633 Å
α = 81.31°, β = 81.31°, γ = 60.00°
Last column: nearest neighbours and their distance in Å.
Positions (direct):
1 Dy 0.2511 0.2511 0.2466  3 Er 3.52, 6 Dy 3.55, 3 Sm 3.58
2 Dy 0.7489 0.7489 0.7534  3 Er 3.52, 6 Dy 3.55, 3 Sm 3.58
3 Sm 0.5000 0.5000 0.5000  6 Sm 3.55, 6 Dy 3.58
4 Er 0.0000 0.0000 0.0000  6 Dy 3.52, 6 Er 3.55


Which one sits at the top of the stability order? one does.


--- one ---
The following is a PBE-GGA calculation of an optimized crystal structure of SmDy6Er2, from the Alexandria database.

## Properties
magnetization: 0.0 Bohr magnetons per cell
space group: R3m (160)

a = 7.3236 Å, b = 7.3236 Å, c = 7.6309 Å
α = 61.32°, β = 61.32°, γ = 60.00°
Last column: nearest neighbours and their distance in Å.
Positions (direct):
1 Dy 0.0473 0.0472 0.2907  1 Sm 2.84, 2 Dy 3.17
2 Dy 0.0472 0.6148 0.2907  1 Sm 2.84, 2 Dy 3.17
3 Dy 0.7818 0.2615 0.6951  1 Sm 3.15, 4 Dy 3.41-3.51, 1 Er 3.53
4 Dy 0.6148 0.0473 0.2907  1 Sm 2.84, 2 Dy 3.17
5 Dy 0.2615 0.2616 0.6951  1 Sm 3.15, 4 Dy 3.41-3.51, 1 Er 3.53
6 Dy 0.2616 0.7818 0.6951  1 Sm 3.15, 4 Dy 3.41-3.51, 1 Er 3.53
7 Er 0.5797 0.5797 0.2610  1 Er 3.35, 9 Dy 3.53-3.68
8 Er 0.7553 0.7553 0.7342  1 Er 3.35, 9 Dy 3.36-3.67
9 Sm 0.3166 0.3166 0.0502  6 Dy 2.84-3.15


--- two ---
The following is a PBE-GGA calculation of an optimized crystal structure of SmDy6Er2, from the Alexandria database.

## Properties
magnetization: 0.0 Bohr magnetons per cell
space group: P-1 (2)

a = 3.5447 Å, b = 8.6673 Å, c = 12.7614 Å
α = 132.76°, β = 82.02°, γ = 90.06°
Last column: nearest neighbours and their distance in Å.
Positions (direct):
1 Dy 0.7784 0.1097 0.4440  10 Dy 3.52-3.55, 2 Er 3.54
2 Dy 0.6671 0.6652 0.6655  9 Dy 3.52-3.55, 2 Sm 3.55, 1 Er 3.56
3 Dy 0.8889 0.5565 0.2221  4 Er 3.52-3.54, 7 Dy 3.52-3.55, 1 Sm 3.55
4 Dy 0.3329 0.3348 0.3345  9 Dy 3.52-3.55, 2 Sm 3.55, 1 Er 3.56
5 Dy 0.2216 0.8903 0.5560  10 Dy 3.52-3.55, 2 Er 3.54
6 Dy 0.1111 0.4435 0.7779  4 Er 3.52-3.54, 7 Dy 3.52-3.55, 1 Sm 3.55
7 Er 0.4443 0.7764 0.1113  7 Dy 3.52-3.56, 3 Er 3.52-3.54, 2 Sm 3.55
8 Er 0.5557 0.2236 0.8887  7 Dy 3.52-3.56, 3 Er 3.52-3.54, 2 Sm 3.55
9 Sm 0.0000 0.0000 0.0000  2 Sm 3.54, 6 Dy 3.55, 4 Er 3.55


Which one sits at the top of the stability order? two does.


--- one ---
The following is a PBE-GGA calculation of an optimized crystal structure of Sm3DyEr3, from the Alexandria database.

## Properties
magnetization: 0.0 Bohr magnetons per cell
space group: P6_3/m (176)

a = 5.6985 Å, b = 9.5762 Å, c = 9.5756 Å
α = 120.00°, β = 90.00°, γ = 90.00°
Last column: nearest neighbours and their distance in Å.
Positions (direct):
1 Er 0.7500 0.9049 0.5221  4 Er 3.52-3.61, 5 Sm 3.52-3.64, 3 Dy 3.53-3.62
2 Er 0.2500 0.0951 0.4779  4 Er 3.52-3.61, 5 Sm 3.52-3.64, 3 Dy 3.53-3.62
3 Er 0.2500 0.5222 0.6172  4 Er 3.52-3.61, 5 Sm 3.53-3.64, 3 Dy 3.53-3.62
4 Er 0.7500 0.6172 0.0950  4 Er 3.52-3.61, 5 Sm 3.53-3.64, 3 Dy 3.53-3.61
5 Er 0.7500 0.4778 0.3828  4 Er 3.52-3.61, 5 Sm 3.53-3.64, 3 Dy 3.53-3.62
6 Er 0.2500 0.3828 0.9050  4 Er 3.52-3.61, 5 Sm 3.53-3.64, 3 Dy 3.53-3.61
7 Sm 0.2500 0.9511 0.7582  5 Er 3.52-3.64, 6 Sm 3.55-3.67, 1 Dy 3.59
8 Sm 0.7500 0.1928 0.9512  5 Er 3.53-3.64, 6 Sm 3.55-3.67, 1 Dy 3.59
9 Sm 0.2500 0.2415 0.1928  5 Er 3.53-3.64, 6 Sm 3.55-3.67, 1 Dy 3.59
10 Sm 0.2500 0.8072 0.0488  5 Er 3.53-3.64, 6 Sm 3.55-3.67, 1 Dy 3.59
11 Sm 0.7500 0.0489 0.2418  5 Er 3.52-3.64, 6 Sm 3.55-3.67, 1 Dy 3.59
12 Sm 0.7500 0.7585 0.8072  5 Er 3.53-3.64, 6 Sm 3.55-3.67, 1 Dy 3.59
13 Dy 0.7500 0.3334 0.6668  9 Er 3.53-3.62, 3 Sm 3.59
14 Dy 0.2500 0.6666 0.3332  9 Er 3.53-3.62, 3 Sm 3.59


--- two ---
The following is a PBE-GGA calculation of an optimized crystal structure of Sm3DyEr3, from the Alexandria database.

## Properties
magnetization: 0.0 Bohr magnetons per cell
space group: R-3 (148)

a = 6.1800 Å, b = 6.1800 Å, c = 14.7068 Å
α = 77.87°, β = 77.87°, γ = 60.00°
Last column: nearest neighbours and their distance in Å.
Positions (direct):
1 Sm 0.8684 0.5377 0.3943  3 Er 3.50-3.51, 9 Sm 3.54-3.66
2 Sm 0.1996 0.8684 0.3943  3 Er 3.50-3.51, 9 Sm 3.54-3.66
3 Sm 0.1316 0.4623 0.6057  3 Er 3.50-3.51, 9 Sm 3.54-3.66
4 Sm 0.5377 0.1996 0.3943  3 Er 3.50-3.51, 9 Sm 3.54-3.66
5 Sm 0.8004 0.1316 0.6057  3 Er 3.50-3.51, 9 Sm 3.54-3.66
6 Sm 0.4623 0.8004 0.6057  3 Er 3.50-3.51, 9 Sm 3.54-3.66
7 Er 0.3988 0.0650 0.8046  2 Dy 3.47, 3 Sm 3.50-3.51, 6 Er 3.57
8 Er 0.0650 0.7316 0.8046  2 Dy 3.47, 3 Sm 3.50-3.51, 6 Er 3.57
9 Er 0.2684 0.6012 0.1954  2 Dy 3.47, 3 Sm 3.50-3.51, 6 Er 3.57
10 Er 0.7316 0.3988 0.8046  2 Dy 3.47, 3 Sm 3.50-3.51, 6 Er 3.57
11 Er 0.6012 0.9350 0.1954  2 Dy 3.47, 3 Sm 3.50-3.51, 6 Er 3.57
12 Er 0.9350 0.2684 0.1954  2 Dy 3.47, 3 Sm 3.50-3.51, 6 Er 3.57
13 Dy 0.6667 0.6667 0.9999  6 Er 3.47, 3 Dy 3.57
14 Dy 0.3333 0.3333 0.0001  6 Er 3.47, 3 Dy 3.57


Which one sits at the top of the stability order? one does.